No. 1
The following is a PBE-GGA calculation of an optimized crystal structure of FeAuI5, from the Alexandria database.

POSCAR file:
```
FeAuI5
1.0
8.0730 0.0000 0.0000
0.0000 15.2382 0.0000
0.0000 0.0000 11.2325
I Au Fe
20 4 4
Direct
0.7500 0.5636 0.9576 I
0.7500 0.4967 0.6358 I
0.9960 0.7505 0.1651 I
0.0040 0.2495 0.8349 I
0.5040 0.7495 0.6651 I
0.5040 0.7505 0.1651 I
0.2500 0.0636 0.5424 I
0.7500 0.5263 0.3081 I
0.7500 0.9364 0.4576 I
0.7500 0.0033 0.1358 I
0.2500 0.4364 0.0424 I
0.4960 0.2495 0.8349 I
0.2500 0.5033 0.3642 I
0.2500 0.4737 0.6919 I
0.2500 0.0263 0.1919 I
0.9960 0.7495 0.6651 I
0.2500 0.9967 0.8642 I
0.0040 0.2505 0.3349 I
0.7500 0.9737 0.8081 I
0.4960 0.2505 0.3349 I
0.2500 0.6496 0.2470 Au
0.7500 0.3504 0.7530 Au
0.2500 0.8504 0.7470 Au
0.7500 0.1496 0.2530 Au
0.2500 0.1425 0.3478 Fe
0.7500 0.8575 0.6522 Fe
0.2500 0.3575 0.8478 Fe
0.7500 0.6425 0.1522 Fe
```

Output
The value obtained for the total moment is 0.5699 μB per atom. As for the space group: No. 62. As for the total DFT energy (no corrections): -2.83 eV per atom.


No. 2
The following is a PBE-GGA calculation of an optimized crystal structure of Fe2AuI8, from the Alexandria database.

POSCAR file:
```
Fe2AuI8
1.0
7.9713 -0.5590 -0.5604
-0.6916 8.2058 2.4914
-0.7764 0.9586 8.5146
I Fe Au
8 2 1
Direct
0.2716 0.3872 0.3872 I
0.8291 0.0873 0.6789 I
0.3508 0.7792 0.7792 I
0.1709 0.3211 0.9127 I
0.6492 0.2208 0.2208 I
0.8291 0.6789 0.0873 I
0.1709 0.9127 0.3211 I
0.7284 0.6128 0.6128 I
0.6655 0.7756 0.7756 Fe
0.3345 0.2244 0.2244 Fe
0.0000 0.0000 0.0000 Au
```

Output
The value obtained for the total moment is 0.8130 μB per atom. For the distance to the lowest polymorph of the same formula, the calculation gives 0.000 eV per atom. As for the space group: No. 12. As for the total DFT energy (no corrections): -3.07 eV per atom.


No. 3
The following is a PBE-GGA calculation of an optimized crystal structure of Fe3AuI, from the Alexandria database.

POSCAR file:
```
Fe3AuI
1.0
4.8929 0.0000 0.0000
0.0000 4.8929 0.0000
0.0000 0.0000 4.8929
I Fe Au
1 3 1
Direct
0.5000 0.5000 0.5000 I
0.5000 0.0000 0.0000 Fe
0.0000 0.5000 0.0000 Fe
0.0000 0.0000 0.5000 Fe
0.0000 0.0000 0.0000 Au
```

Output
The value obtained for the total moment is 2.0135 μB per atom. For the distance to the lowest polymorph of the same formula, the calculation gives 0.000 eV per atom. As for the space group: No. 221. As for the total DFT energy (no corrections): -4.86 eV per atom.